! Co4SbO8, relaxed, DFT PBE with a Hubbard U; values from VASP
&SYSTEM
  ibrav = 0, nat = 13, ntyp = 3
/
ATOMIC_SPECIES
Co 58.93 Co.upf
Sb 121.76 Sb.upf
O 16.00 O.upf
CELL_PARAMETERS angstrom
-2.760 1.497 -5.046
-4.710 -3.130 -1.830
-5.274 2.427 0.295
ATOMIC_POSITIONS crystal
Co 0.384 0.384 0.887
Co 0.616 0.616 0.113
Co 0.000 0.500 0.500
Co 0.500 0.000 0.500
Sb 0.000 0.000 0.000
O 0.256 0.256 0.294
O 0.240 0.240 0.761
O 0.264 0.786 0.738
O 0.786 0.264 0.738
O 0.744 0.744 0.706
O 0.760 0.760 0.239
O 0.736 0.214 0.262
O 0.214 0.736 0.262
! Density of states at the Fermi level: 3.9 states/eV/cell
! Uncorrected energy: -5.93 eV/atom